Computed, not measured: an optimized crystal structure of Pu2NpTe5 at the PBE level of DFT.

```
data_Pu2NpTe5
_chemical_formula_sum 'Pu2 Np1 Te5'
_symmetry_space_group_name_H-M 'P 1'
_symmetry_Int_Tables_number 1
_cell_length_a 6.0447
_cell_length_b 7.8398
_cell_length_c 6.4748
_cell_angle_alpha 90.00
_cell_angle_beta 78.86
_cell_angle_gamma 90.00
loop_
_symmetry_equiv_pos_as_xyz
'x,y,z'
loop_
_atom_site_label
_atom_site_fract_x
_atom_site_fract_y
_atom_site_fract_z
Pu1 0.5000 0.5000 0.0000
Pu2 0.5000 0.0000 0.5000
Np1 0.0000 0.0000 0.0000
Te1 0.1814 0.7135 0.7023
Te2 0.1814 0.2865 0.7023
Te3 0.8186 0.7135 0.2977
Te4 0.5000 0.0000 0.0000
Te5 0.8186 0.2865 0.2977
```

Output
The electronic total energy is -7.5781 eV/atom. The uncorrected formation energy is -3.31 eV/f.u.